# 1
First-principles (GGA-PBE) data for an optimized crystal structure of KHgPd, as listed in Alexandria.

Values from the calculation:
Calculated total energy, eV per atom: -2.310
Size of the total moment, μB per formula unit: 0.00
Energy above the most stable polymorph in this dataset, kJ/mol of atoms: 9.9

a = 6.453 Å, b = 6.453 Å, c = 6.453 Å
α = 145.57°, β = 145.57°, γ = 49.48°
Atoms (fractional coordinates):
1 K 0.000 0.000 0.000
2 Hg 0.725 0.725 0.000
3 Pd 0.271 0.271 0.000

***

# 2
First-principles (GGA-PBE) data for an optimized crystal structure of Cs2RbAlF6, as listed in Alexandria.

Values from the calculation:
Formation energy (no corrections), meV/atom: -3168
Calculated total energy, eV per atom: -4.933
Size of the total moment, μB per formula unit: 0.00

a = 6.490 Å, b = 6.490 Å, c = 6.490 Å
α = 60.00°, β = 60.00°, γ = 60.00°
Atoms (fractional coordinates):
1 Cs 0.250 0.250 0.250
2 Cs 0.750 0.750 0.750
3 Rb 0.000 0.000 0.000
4 Al 0.500 0.500 0.500
5 F 0.299 0.299 0.701
6 F 0.299 0.701 0.299
7 F 0.299 0.701 0.701
8 F 0.701 0.299 0.299
9 F 0.701 0.299 0.701
10 F 0.701 0.701 0.299

***

# 3
First-principles (GGA-PBE) data for an optimized crystal structure of CdFe2Si, as listed in Alexandria.

Values from the calculation:
Formation energy (no corrections), meV/atom: 223
Calculated total energy, eV per atom: -5.592
Size of the total moment, μB per formula unit: 4.43
Energy above the most stable polymorph in this dataset, kJ/mol of atoms: 22.6

a = 4.392 Å, b = 4.392 Å, c = 4.966 Å
α = 99.13°, β = 99.13°, γ = 38.53°
Atoms (fractional coordinates):
1 Cd 0.000 0.000 0.000
2 Fe 0.242 0.242 0.701
3 Fe 0.511 0.511 0.506
4 Si 0.774 0.774 0.339

***

# 4
First-principles (GGA-PBE) data for an optimized crystal structure of TmThTcAu, as listed in Alexandria.

Values from the calculation:
Calculated total energy, eV per atom: -6.739
Size of the total moment, μB per formula unit: 0.00

a = 5.039 Å, b = 5.039 Å, c = 5.039 Å
α = 60.00°, β = 60.00°, γ = 60.00°
Atoms (fractional coordinates):
1 Tm 0.000 0.000 0.000
2 Th 0.500 0.500 0.500
3 Tc 0.750 0.750 0.750
4 Au 0.250 0.250 0.250

***

- Number 2 is which compound?
  Cs2RbAlF6